# 1
Here is a relaxed structure of CuGePb2S4 from Alexandria. Energies are from PBE-GGA.

As for the energy relative to the elements, uncorrected: -302 meV per atom. The crystal system is orthorhombic.

The space group is Pmn2_1 (No. 31) and the conventional cell measures 7.479, 8.814 and 6.148 Å, with angles of 90.00, 90.00 and 90.00 degrees. The asymmetric unit holds Cu at (0.000, 0.134, 0.000), Ge at (0.000, 0.860, 0.506), Pb at (0.249, 0.342, 0.535), S at (0.000, 0.104, 0.627), S at (0.000, 0.889, 0.134) and S at (0.249, 0.280, 0.088).

# 2
Here is a relaxed structure of CuRe2W from Alexandria. Energies are from PBE-GGA.

The crystal system is orthorhombic. The formation energy from the elements is 336 meV/atom.

The space group is Cmm2 (No. 35) and the conventional cell measures 3.109, 4.366 and 8.775 Å, with angles of 90.00, 90.00 and 90.00 degrees. The asymmetric unit holds Cu at (0.000, 0.000, 0.000), Re at (0.000, 0.000, 0.501), Re at (0.000, 0.500, 0.753) and W at (0.000, 0.500, 0.247).

# 3
Here is a relaxed structure of Ac3Cu4Si4 from Alexandria. Energies are from PBE-GGA.

As for the energy relative to the elements, uncorrected: -447 meV per atom. The crystal system is monoclinic.

The space group is C2/m (No. 12) and the conventional cell measures 25.225, 4.370 and 4.274 Å, with angles of 90.00, 99.68 and 90.00 degrees. The asymmetric unit holds Ac at (0.000, 0.000, 0.000), Ac at (0.150, 0.000, 0.651), Cu at (0.053, 0.500, 0.554), Cu at (0.201, 0.500, 0.201), Si at (0.099, 0.500, 0.100) and Si at (0.250, 0.000, 0.251).

# 4
Here is a relaxed structure of AcInGeAu from Alexandria. Energies are from PBE-GGA.

The crystal system is cubic. The formation energy from the elements is -467 meV/atom.

The space group is F-43m (No. 216) and the conventional cell measures 7.450, 7.450 and 7.450 Å, with angles of 90.00, 90.00 and 90.00 degrees. The asymmetric unit holds Ac at (0.000, 0.000, 0.000), In at (0.000, 0.000, 0.500), Ge at (0.250, 0.250, 0.250) and Au at (0.250, 0.250, 0.750).

# 5
Here is a relaxed structure of Ca3NdEr2Te6 from Alexandria. Energies are from PBE-GGA.

As for the energy relative to the elements, uncorrected: -1454 meV per atom. The crystal system is monoclinic.

The space group is C2/m (No. 12) and the conventional cell measures 19.469, 4.398 and 8.948 Å, with angles of 90.00, 104.51 and 90.00 degrees. The asymmetric unit holds Ca at (0.000, 0.000, 0.000), Ca at (0.164, 0.500, 0.331), Nd at (0.000, 0.000, 0.500), Er at (0.163, 0.500, 0.824), Te at (0.002, 0.500, 0.757), Te at (0.170, 0.000, 0.588) and Te at (0.171, 0.000, 0.075).